A geometry-optimized Be2InHg structure, computed with PBE-GGA.

Calculated values
* N(E_F): 0.97 states/eV/cell
* excess energy over the best structure of this formula in the dataset: 239 meV per atom
* ρ: 8.392 g/cm³
* space-group type: I4/mmm
* electronic total energy: -8.0 eV per cell
* total magnetization: 0.0 μB per cell

Unit cell a=4.844 b=4.844 c=4.844 alpha=129.51 beta=129.51 gamma=74.19
Fractional positions:
Be (0.250, 0.750, 0.500)
Be (0.750, 0.250, 0.500)
In (0.000, 0.000, 0.000)
Hg (0.500, 0.500, 0.000)